[1]
VASP calculation (PBE-GGA) on crystalline KAsP2 at its relaxed geometry.

Output
The value obtained for the density is 3.101 g/cm3. As for the space-group type: Immm, No. 71. The calculation puts the formation energy at 0.988 eV per formula unit.

The structure in extended XYZ format:
```
4
Lattice="-1.653 3.034 4.696 1.653 -3.034 4.696 1.653 3.034 -4.696" Properties=species:S:1:pos:R:3 pbc="T T T"
K 0.000 0.000 0.000
As 0.000 0.000 4.696
P 1.653 0.000 2.941
P 0.000 3.034 1.755
```

***

[2]
VASP calculation (PBE-GGA) on crystalline KAs2P at its relaxed geometry.

Output
The value obtained for the density is 4.133 g/cm3. As for the space-group type: F-43m, No. 216. The calculation puts the formation energy at 1.934 eV per formula unit.

The structure in extended XYZ format:
```
4
Lattice="0.000 3.535 3.535 3.535 0.000 3.535 3.535 3.535 0.000" Properties=species:S:1:pos:R:3 pbc="T T T"
K 0.000 0.000 0.000
As 1.768 1.768 1.768
As 3.535 3.535 3.535
P 5.303 5.303 5.303
```

***

[3]
VASP calculation (PBE-GGA) on crystalline KAsP2 at its relaxed geometry.

Output
The value obtained for the density is 3.750 g/cm3. As for the space-group type: R-3m, No. 166. The calculation puts the formation energy at 2.778 eV per formula unit.

The structure in extended XYZ format:
```
4
Lattice="1.495 0.863 10.070 -1.495 0.863 10.070 0.000 -1.726 10.070" Properties=species:S:1:pos:R:3 pbc="T T T"
K 0.000 0.000 0.000
As 0.000 0.000 15.105
P 0.000 0.000 7.379
P 0.000 0.000 22.830
```

***

[4]
VASP calculation (PBE-GGA) on crystalline KAsP2 at its relaxed geometry.

Output
The value obtained for the density is 3.276 g/cm3. As for the space-group type: P4mm, No. 99. The calculation puts the formation energy at 0.852 eV per formula unit.

The structure in extended XYZ format:
```
4
Lattice="3.660 0.000 0.000 0.000 3.660 0.000 0.000 0.000 6.659" Properties=species:S:1:pos:R:3 pbc="T T T"
K 0.000 0.000 0.000
As 1.830 1.830 4.488
P 0.000 0.000 3.143
P 1.830 1.830 2.272
```

***

[5]
VASP calculation (PBE-GGA) on crystalline KAsP at its relaxed geometry.

Output
The value obtained for the density is 2.884 g/cm3. For the excess energy over the best structure of this formula in the dataset, the calculation gives 1259 meV/atom. As for the space-group type: F-43m, No. 216. The calculation puts the formation energy at 2.747 eV per formula unit.

The structure in extended XYZ format:
```
3
Lattice="0.000 3.469 3.469 3.469 0.000 3.469 3.469 3.469 0.000" Properties=species:S:1:pos:R:3 pbc="T T T"
K 0.000 0.000 0.000
As 1.734 1.734 1.734
P 5.203 5.203 5.203
```

***

[6]
VASP calculation (PBE-GGA) on crystalline KAsP at its relaxed geometry.

Output
The value obtained for the density is 2.891 g/cm3. For the excess energy over the best structure of this formula in the dataset, the calculation gives 165 meV/atom. As for the space-group type: P-6m2, No. 187. The calculation puts the formation energy at -0.535 eV per formula unit.

The structure in extended XYZ format:
```
3
Lattice="4.353 0.000 0.000 -2.176 3.770 0.000 0.000 0.000 5.076" Properties=species:S:1:pos:R:3 pbc="T T T"
K 0.000 0.000 0.000
As 2.176 1.257 2.538
P 0.000 2.513 2.538
```

***

[7]
VASP calculation (PBE-GGA) on crystalline KAsP at its relaxed geometry.

Output
The value obtained for the density is 2.753 g/cm3. For the excess energy over the best structure of this formula in the dataset, the calculation gives 102 meV/atom. As for the space-group type: Cmc2_1, No. 36. The calculation puts the formation energy at -0.725 eV per formula unit.

The structure in extended XYZ format:
```
6
Lattice="1.765 -5.119 0.000 1.765 5.119 0.000 0.000 0.000 9.678" Properties=species:S:1:pos:R:3 pbc="T T T"
K 1.765 3.053 4.839
K 1.765 -3.053 0.000
As 1.765 4.376 7.906
As 1.765 -4.376 3.068
P 1.765 0.363 6.920
P 1.765 -0.363 2.081
```

***

[8]
VASP calculation (PBE-GGA) on crystalline K2AsP at its relaxed geometry.

Output
The value obtained for the density is 2.825 g/cm3. For the excess energy over the best structure of this formula in the dataset, the calculation gives 533 meV/atom. As for the space-group type: I-4m2, No. 119. The calculation puts the formation energy at 0.643 eV per formula unit.

The structure in extended XYZ format:
```
4
Lattice="-2.470 2.470 4.433 2.470 -2.470 4.433 2.470 2.470 -4.433" Properties=species:S:1:pos:R:3 pbc="T T T"
K 0.000 0.000 0.000
K 0.000 2.470 2.216
As 0.000 0.000 4.433
P 2.470 0.000 2.216
```

***

[9]
VASP calculation (PBE-GGA) on crystalline KAsP at its relaxed geometry.

Output
The value obtained for the density is 3.354 g/cm3. For the excess energy over the best structure of this formula in the dataset, the calculation gives 262 meV/atom. As for the space-group type: Amm2, No. 38. The calculation puts the formation energy at -0.244 eV per formula unit.

The structure in extended XYZ format:
```
3
Lattice="3.009 0.000 0.000 0.000 2.118 5.631 0.000 -2.118 5.631" Properties=species:S:1:pos:R:3 pbc="T T T"
K 0.000 0.000 0.000
As 1.504 0.000 7.942
P 1.504 0.000 3.500
```

***

[10]
VASP calculation (PBE-GGA) on crystalline KAs2P at its relaxed geometry.

Output
The value obtained for the density is 3.867 g/cm3. As for the space-group type: Pmmm, No. 47. The calculation puts the formation energy at 0.701 eV per formula unit.

The structure in extended XYZ format:
```
4
Lattice="3.560 0.000 0.000 0.000 3.979 0.000 0.000 0.000 6.666" Properties=species:S:1:pos:R:3 pbc="T T T"
K 0.000 0.000 0.000
As 1.780 1.990 2.175
As 1.780 1.990 4.491
P 0.000 0.000 3.333
```

***

[11]
VASP calculation (PBE-GGA) on crystalline KAsP2 at its relaxed geometry.

Output
The value obtained for the density is 3.550 g/cm3. As for the space-group type: I-4m2, No. 119. The calculation puts the formation energy at 2.437 eV per formula unit.

The structure in extended XYZ format:
```
4
Lattice="-2.167 2.167 4.381 2.167 -2.167 4.381 2.167 2.167 -4.381" Properties=species:S:1:pos:R:3 pbc="T T T"
K 0.000 0.000 0.000
As 0.000 2.167 2.191
P 2.167 0.000 2.191
P 0.000 0.000 4.381
```

***

[12]
VASP calculation (PBE-GGA) on crystalline KAs2P2 at its relaxed geometry.

Output
The value obtained for the density is 3.369 g/cm3. For the excess energy over the best structure of this formula in the dataset, the calculation gives 0 meV/atom. As for the space-group type: I4/mmm, No. 139. The calculation puts the formation energy at -0.424 eV per formula unit.

The structure in extended XYZ format:
```
5
Lattice="-2.374 2.374 5.485 2.374 -2.374 5.485 2.374 2.374 -5.485" Properties=species:S:1:pos:R:3 pbc="T T T"
K 0.000 0.000 0.000
As 0.000 0.000 3.549
As 0.000 0.000 7.420
P 2.374 0.000 2.742
P 0.000 2.374 2.742
```

***

[13]
VASP calculation (PBE-GGA) on crystalline KAsP at its relaxed geometry.

Output
The value obtained for the density is 3.392 g/cm3. For the excess energy over the best structure of this formula in the dataset, the calculation gives 956 meV/atom. As for the space-group type: P6_3/mmc, No. 194. The calculation puts the formation energy at 1.839 eV per formula unit.

The structure in extended XYZ format:
```
6
Lattice="5.124 0.000 0.000 -2.562 4.437 0.000 0.000 0.000 6.244" Properties=species:S:1:pos:R:3 pbc="T T T"
K 0.000 2.958 1.561
K 2.562 1.479 4.683
As 0.000 2.958 4.683
As 2.562 1.479 1.561
P 0.000 0.000 0.000
P 0.000 0.000 3.122
```